(1)
# PBE Sr2YUP4, optimized geometry
# energy of formation = -1191 meV/atom
data_Sr2YUP4
_space_group_name_H-M_alt 'P 1 2/m 1'
_space_group_IT_number 10
_cell_length_a 7.1172
_cell_length_b 4.1543
_cell_length_c 7.3274
_cell_angle_alpha 90.00
_cell_angle_beta 108.88
_cell_angle_gamma 90.00
loop_
_space_group_symop_operation_xyz
'x,y,z'
'-x,-y,-z'
'-x,y,-z'
'x,-y,z'
loop_
_atom_site_label
_atom_site_fract_x
_atom_site_fract_y
_atom_site_fract_z
Sr1 0.0000 0.0000 0.0000
Sr2 0.5000 0.5000 0.0000
Y1 0.0000 0.5000 0.5000
U1 0.5000 0.0000 0.5000
P1 0.2523 0.0000 0.7159
P2 0.2719 0.5000 0.2879

---

(2)
# PBE Sr2InTc, optimized geometry
# energy of formation = 306 meV/atom
data_Sr2InTc
_space_group_name_H-M_alt 'A m m 2'
_space_group_IT_number 38
_cell_length_a 4.6629
_cell_length_b 4.6715
_cell_length_c 11.9808
_cell_angle_alpha 90.00
_cell_angle_beta 90.00
_cell_angle_gamma 90.00
loop_
_space_group_symop_operation_xyz
'x,y,z'
'-x,-y,z'
'-x,y,z'
'x,-y,z'
'x,y+1/2,z+1/2'
'-x,-y+1/2,z+1/2'
'-x,y+1/2,z+1/2'
'x,-y+1/2,z+1/2'
loop_
_atom_site_label
_atom_site_fract_x
_atom_site_fract_y
_atom_site_fract_z
Sr1 0.0000 0.0000 0.0000
Sr2 0.5000 0.0000 0.2849
In1 0.5000 0.0000 0.5829
Tc1 0.0000 0.0000 0.6966